Entry 1:
PBE LiCeDyTl, optimized geometry; calculated formation energy = -0.08 eV/atom; symmetry = F-43m, No. 216
1.0
5.3620 0.0000 0.0000
2.6810 4.6436 0.0000
2.6810 1.5479 4.3780
Li Dy Tl Ce
1 1 1 1
Cartesian
0.0000 0.0000 0.0000 Li
8.0429 4.6436 3.2835 Dy
5.3620 3.0957 2.1890 Tl
2.6810 1.5479 1.0945 Ce


Entry 2:
PBE LiCeDy2Tl4, optimized geometry; calculated formation energy = -0.29 eV/atom; symmetry = R-3m, No. 166
1.0
5.2576 0.0000 0.0000
2.6288 4.5532 0.0000
2.6288 1.5177 9.0118
Dy Tl Li Ce
2 4 1 1
Cartesian
7.8864 4.5532 6.6139 Dy
2.6288 1.5177 2.3979 Dy
5.2576 3.0355 7.7936 Tl
2.6288 1.5177 5.5533 Tl
7.8864 4.5532 3.4585 Tl
5.2576 3.0355 1.2182 Tl
5.2576 3.0355 4.5059 Li
0.0000 0.0000 0.0000 Ce


Entry 3:
PBE LiCeDyZn, optimized geometry; calculated formation energy = -0.02 eV/atom; symmetry = F-43m, No. 216
1.0
-1.4977 4.9124 0.1803
-4.4645 1.2452 2.2193
-0.0284 2.5147 4.4814
Li Zn Ce Dy
1 1 1 1
Cartesian
0.0000 0.0000 0.0000 Li
-2.9953 4.3362 3.4405 Zn
-1.4977 2.1681 1.7203 Ce
-4.4930 6.5043 5.1608 Dy


Entry 4:
PBE CeDyLu2, optimized geometry; calculated formation energy = 0.07 eV/atom; polymorph energy (0 for the lowest one) = 0.1 kJ/mol of atoms; symmetry = P4/mmm, No. 123
1.0
-1.3064 4.4542 -1.4937
-1.5262 1.0922 4.5916
4.5288 1.6977 1.1015
Lu Ce Dy
2 1 1
Cartesian
-0.7631 0.5461 2.2958 Lu
2.2644 0.8488 0.5508 Lu
-0.6532 2.2271 -0.7469 Ce
0.8481 3.6220 2.0997 Dy


Entry 5:
PBE CeDyLu2, optimized geometry; calculated formation energy = 0.12 eV/atom; polymorph energy (0 for the lowest one) = 5.6 kJ/mol of atoms; symmetry = Fm-3m, No. 225
1.0
5.5749 0.0000 0.0000
2.7875 4.8280 0.0000
2.7875 1.6093 4.5519
Ce Dy Lu
1 1 2
Cartesian
5.5749 3.2187 2.2760 Ce
0.0000 0.0000 0.0000 Dy
2.7875 1.6093 1.1380 Lu
8.3624 4.8280 3.4139 Lu


Entry 6:
PBE CeDyLu, optimized geometry; calculated formation energy = 0.06 eV/atom; polymorph energy (0 for the lowest one) = 0.0 kJ/mol of atoms; symmetry = P3m1, No. 156
1.0
3.4838 0.0000 0.0000
-1.7419 3.0171 0.0000
0.0000 0.0000 8.5428
Dy Ce Lu
1 1 1
Cartesian
0.0000 0.0000 0.0047 Dy
1.7419 1.0057 2.8653 Ce
0.0000 2.0114 5.6728 Lu


Entry 7:
PBE Ce4DyLu, optimized geometry; calculated formation energy = 0.21 eV/atom; symmetry = F-43m, No. 216
1.0
-3.4475 4.0741 3.3247
-5.0120 2.7487 -2.6194
-5.7903 -1.5783 1.8759
Dy Ce Lu
1 4 1
Cartesian
-3.5624 1.3111 0.6453 Dy
-5.9925 4.0910 0.6651 Ce
-8.9356 3.2887 1.6186 Ce
-7.1833 1.2179 -0.0713 Ce
-6.3881 1.8916 2.9500 Ce
0.0000 0.0000 0.0000 Lu


Entry 8:
PBE CeDyLu4, optimized geometry; calculated formation energy = 0.33 eV/atom; symmetry = F-43m, No. 216
1.0
-4.2498 0.6258 4.9261
-4.5246 -4.6056 1.0176
0.4397 -3.9178 5.2131
Lu Ce Dy
4 1 1
Cartesian
-2.9497 -2.6363 6.4621 Lu
-5.4261 -2.9794 4.3693 Lu
-3.0868 -5.2459 4.5125 Lu
-5.2067 -4.9337 6.9697 Lu
-2.0837 -1.9744 2.7892 Ce
0.0000 0.0000 0.0000 Dy


Entry 9:
PBE CeDyLu, optimized geometry; calculated formation energy = 0.07 eV/atom; polymorph energy (0 for the lowest one) = 1.2 kJ/mol of atoms; symmetry = I4mm, No. 107
1.0
-1.2046 -0.9310 -3.1443
-2.9447 -1.1669 1.4737
-0.9859 7.7482 0.0244
Ce Dy Lu
1 1 1
Cartesian
-1.7288 3.7842 -0.4581 Ce
-4.8188 4.9577 -1.5624 Dy
-2.8047 0.5491 -1.0288 Lu


Entry 10:
PBE CeDyLu2, optimized geometry; calculated formation energy = 0.07 eV/atom; polymorph energy (0 for the lowest one) = 0.0 kJ/mol of atoms; symmetry = P4/mmm, No. 123
1.0
3.4948 0.0000 0.0000
0.0000 3.4948 0.0000
0.0000 0.0000 9.8002
Dy Lu Ce
1 2 1
Cartesian
1.7474 1.7474 4.9001 Dy
0.0000 0.0000 7.3888 Lu
0.0000 0.0000 2.4114 Lu
1.7474 1.7474 0.0000 Ce


Entry 11:
PBE CeDyLuMg, optimized geometry; calculated formation energy = 0.07 eV/atom; symmetry = F-43m, No. 216
1.0
-3.3352 2.9712 3.1445
-5.2858 -1.3225 0.3879
-1.9570 -2.0959 4.6494
Dy Ce Mg Lu
1 1 1 1
Cartesian
-2.6445 -0.1118 2.0455 Dy
-7.9335 -0.3354 6.1364 Ce
0.0000 0.0000 0.0000 Mg
-5.2890 -0.2236 4.0909 Lu


Entry 12:
PBE CeDyLuPa, optimized geometry; calculated formation energy = 0.36 eV/atom; symmetry = F-43m, No. 216
1.0
-1.7191 5.1840 -0.5960
-3.9683 1.1801 -3.6118
-4.9882 1.4617 1.7794
Ce Lu Dy Pa
1 1 1 1
Cartesian
-2.6689 1.9565 -0.6071 Ce
-5.3378 3.9129 -1.2142 Lu
-8.0067 5.8694 -1.8213 Dy
0.0000 0.0000 0.0000 Pa


| no. | E_tot (eV per atom) |
| --- | --- |
| 1 | -3.781 |
| 2 | -3.603 |
| 3 | -3.453 |
| 4 | -4.828 |
| 5 | -4.771 |
| 6 | -4.957 |
| 7 | -5.265 |
| 8 | -4.436 |
| 9 | -4.944 |
| 10 | -4.829 |
| 11 | -4.090 |
| 12 | -5.783 |